[1]
This record from Alexandria describes a relaxed structure of MnSbIr. The functional is PBE-GGA.

Lattice parameters (Å, degrees): 4.8062 4.8062 4.8062 141.21 132.05 63.31
Sites, in units of the cell vectors:
Mn: 0.0000 0.0000 0.0000
Sb: 0.6783 0.6783 0.0000
Ir: 0.3465 0.3465 0.0000

## Properties
- Density of states at the Fermi level: 2.20 states/eV/f.u.
- Mass density: 12.01 g/cm3
- Total energy: -7.277 eV per atom
- E_form (uncorrected): 10 kJ/mol of atoms

***

[2]
This record from Alexandria describes a relaxed structure of Mn2SbIr. The functional is PBE-GGA.

Lattice parameters (Å, degrees): 8.6801 8.6801 8.6801 19.81 19.81 19.81
Sites, in units of the cell vectors:
Mn: 0.0000 0.0000 0.0000
Mn: 0.2536 0.2536 0.2536
Sb: 0.4985 0.4985 0.4985
Ir: 0.7403 0.7403 0.7403

## Properties
- Density of states at the Fermi level: 2.91 states/eV/f.u.
- Mass density: 10.71 g/cm3
- Total energy: -7.419 eV per atom
- E_form (uncorrected): 40 kJ/mol of atoms

***

[3]
This record from Alexandria describes a relaxed structure of MnSb2Ir. The functional is PBE-GGA.

Lattice parameters (Å, degrees): 4.0370 4.0370 6.4775 107.63 107.63 59.63
Sites, in units of the cell vectors:
Mn: 0.0000 0.0000 0.0000
Sb: 0.2413 0.2413 0.7265
Sb: 0.7587 0.7587 0.2735
Ir: 0.5000 0.5000 0.5000

## Properties
- Density of states at the Fermi level: 1.75 states/eV/f.u.
- Mass density: 9.55 g/cm3
- Total energy: -6.412 eV per atom
- ΔE to the lowest computed polymorph: 163 meV per atom
- E_form (uncorrected): 15 kJ/mol of atoms

***

[4]
This record from Alexandria describes a relaxed structure of MnSb2Ir. The functional is PBE-GGA.

Lattice parameters (Å, degrees): 4.7873 4.7873 3.2563 90.00 90.00 90.08
Sites, in units of the cell vectors:
Mn: 0.0000 0.0000 0.0000
Sb: 0.0000 0.5000 0.5000
Sb: 0.5000 0.0000 0.5000
Ir: 0.5000 0.5000 0.0000

## Properties
- Density of states at the Fermi level: 2.11 states/eV/f.u.
- Mass density: 10.92 g/cm3
- Total energy: -6.380 eV per atom
- ΔE to the lowest computed polymorph: 195 meV per atom
- E_form (uncorrected): 18 kJ/mol of atoms

***

- What is the E_form (uncorrected) in the third record?
  15 kJ/mol of atoms